(1)
Material: LaZnB
Method: DFT, PBE
State: relaxed

The energy relative to the elements comes out at -223 meV/atom. The calculation puts the energy above the most stable polymorph in this dataset at 80 meV per atom. As for the crystal system: monoclinic.

CIF file:
```
data_LaZnB
_symmetry_space_group_name_H-M 'P 1 2/m 1'
_symmetry_Int_Tables_number 10
_cell_length_a 4.3762
_cell_length_b 3.8455
_cell_length_c 6.9155
_cell_angle_alpha 90.00
_cell_angle_beta 96.23
_cell_angle_gamma 90.00
loop_
_symmetry_equiv_pos_as_xyz
'x,y,z'
'-x,-y,-z'
'-x,y,-z'
'x,-y,z'
loop_
_atom_site_label
_atom_site_fract_x
_atom_site_fract_y
_atom_site_fract_z
_atom_site_occupancy
La1 0.2003 0.0000 0.2028 1
Zn1 0.2656 0.5000 0.5996 1
B1 0.3654 0.5000 0.9122 1
```

***

(2)
Material: Tl15GaPb4
Method: DFT, PBE
State: relaxed

The energy relative to the elements comes out at 16 meV/atom. As for the crystal system: tetragonal.

CIF file:
```
data_Tl15GaPb4
_symmetry_space_group_name_H-M 'P 4/m m m'
_symmetry_Int_Tables_number 123
_symmetry_space_group_name_Hall '-P 4 2'
_cell_length_a 5.2906
_cell_length_b 5.2906
_cell_length_c 21.6061
_cell_angle_alpha 90.00
_cell_angle_beta 90.00
_cell_angle_gamma 90.00
loop_
_atom_site_label
_atom_site_fract_x
_atom_site_fract_y
_atom_site_fract_z
_atom_site_occupancy
Tl1 0.0000 0.0000 0.0000 1
Tl2 0.0000 0.0000 0.1922 1
Tl3 0.0000 0.0000 0.3968 1
Tl4 0.0000 0.5000 0.0910 1
Tl5 0.0000 0.5000 0.2940 1
Tl6 0.0000 0.5000 0.5000 1
Ga1 0.5000 0.5000 0.0000 1
Pb1 0.5000 0.5000 0.1913 1
Pb2 0.5000 0.5000 0.3966 1
```

***

(3)
Material: GaSn2Pb
Method: DFT, PBE
State: relaxed

The energy relative to the elements comes out at 109 meV/atom. The calculation puts the energy above the most stable polymorph in this dataset at 75 meV per atom. As for the crystal system: cubic.

CIF file:
```
data_GaSn2Pb
_symmetry_space_group_name_H-M 'F m -3 m'
_symmetry_Int_Tables_number 225
_symmetry_space_group_name_Hall '-F 4 2 3'
_cell_length_a 7.5644
_cell_length_b 7.5644
_cell_length_c 7.5644
_cell_angle_alpha 90.00
_cell_angle_beta 90.00
_cell_angle_gamma 90.00
loop_
_atom_site_label
_atom_site_fract_x
_atom_site_fract_y
_atom_site_fract_z
_atom_site_occupancy
Ga1 0.0000 0.0000 0.0000 1
Sn1 0.2500 0.2500 0.2500 1
Pb1 0.0000 0.0000 0.5000 1
```

***

(4)
Material: MgAs
Method: DFT, PBE
State: relaxed

The energy relative to the elements comes out at -286 meV/atom. The calculation puts the energy above the most stable polymorph in this dataset at 131 meV per atom. As for the crystal system: orthorhombic.

CIF file:
```
data_MgAs
_symmetry_space_group_name_H-M 'C m c m'
_symmetry_Int_Tables_number 63
_symmetry_space_group_name_Hall '-C 2c 2'
_cell_length_a 2.9520
_cell_length_b 11.0221
_cell_length_c 4.8698
_cell_angle_alpha 90.00
_cell_angle_beta 90.00
_cell_angle_gamma 90.00
loop_
_atom_site_label
_atom_site_fract_x
_atom_site_fract_y
_atom_site_fract_z
_atom_site_occupancy
Mg1 0.0000 0.1186 0.2500 1
As1 0.0000 0.3765 0.2500 1
```

***

(5)
Material: CrHg2Br
Method: DFT, PBE
State: relaxed

Its formation energy from raw total energies is 217 meV/atom. The calculation puts the energy above the most stable polymorph in this dataset at 194 meV per atom. As for the crystal system: orthorhombic.

CIF file:
```
data_CrHg2Br
_symmetry_space_group_name_H-M 'C m m m'
_symmetry_Int_Tables_number 65
_symmetry_space_group_name_Hall '-C 2 2'
_cell_length_a 5.5293
_cell_length_b 9.7731
_cell_length_c 3.7735
_cell_angle_alpha 90.00
_cell_angle_beta 90.00
_cell_angle_gamma 90.00
loop_
_atom_site_label
_atom_site_fract_x
_atom_site_fract_y
_atom_site_fract_z
_atom_site_occupancy
Cr1 0.0000 0.0000 0.0000 1
Hg1 0.2500 0.2500 0.5000 1
Br1 0.0000 0.5000 0.0000 1
```

***

(6)
Material: Pm3Sm6In2
Method: DFT, PBE
State: relaxed

The energy relative to the elements comes out at 102 meV/atom. As for the crystal system: tetragonal.

CIF file:
```
data_Pm3Sm6In2
_symmetry_space_group_name_H-M 'I 4/m m m'
_symmetry_Int_Tables_number 139
_symmetry_space_group_name_Hall '-I 4 2'
_cell_length_a 4.6241
_cell_length_b 4.6241
_cell_length_c 35.8045
_cell_angle_alpha 90.00
_cell_angle_beta 90.00
_cell_angle_gamma 90.00
loop_
_atom_site_label
_atom_site_fract_x
_atom_site_fract_y
_atom_site_fract_z
_atom_site_occupancy
Pm1 0.0000 0.0000 0.0000 1
Pm2 0.0000 0.0000 0.1670 1
Sm1 0.0000 0.0000 0.2725 1
Sm2 0.0000 0.5000 0.0805 1
In1 0.0000 0.0000 0.3584 1
```

***

(7)
Material: Rb2NbCdI6
Method: DFT, PBE
State: relaxed

Its formation energy from raw total energies is -732 meV/atom. As for the crystal system: cubic.

CIF file:
```
data_Rb2NbCdI6
_symmetry_space_group_name_H-M 'F m -3 m'
_symmetry_Int_Tables_number 225
_symmetry_space_group_name_Hall '-F 4 2 3'
_cell_length_a 11.9769
_cell_length_b 11.9769
_cell_length_c 11.9769
_cell_angle_alpha 90.00
_cell_angle_beta 90.00
_cell_angle_gamma 90.00
loop_
_atom_site_label
_atom_site_fract_x
_atom_site_fract_y
_atom_site_fract_z
_atom_site_occupancy
Rb1 0.2500 0.2500 0.2500 1
Nb1 0.0000 0.0000 0.0000 1
Cd1 0.0000 0.0000 0.5000 1
I1 0.0000 0.0000 0.2412 1
```

***

(8)
Material: Li2PaPd5
Method: DFT, PBE
State: relaxed

The energy relative to the elements comes out at -641 meV/atom. As for the crystal system: tetragonal.

CIF file:
```
data_Li2PaPd5
_symmetry_space_group_name_H-M 'I 4/m m m'
_symmetry_Int_Tables_number 139
_symmetry_space_group_name_Hall '-I 4 2'
_cell_length_a 4.1747
_cell_length_b 4.1747
_cell_length_c 14.4642
_cell_angle_alpha 90.00
_cell_angle_beta 90.00
_cell_angle_gamma 90.00
loop_
_atom_site_label
_atom_site_fract_x
_atom_site_fract_y
_atom_site_fract_z
_atom_site_occupancy
Li1 0.0000 0.0000 0.2472 1
Pa1 0.0000 0.0000 0.5000 1
Pd1 0.0000 0.0000 0.0000 1
Pd2 0.0000 0.5000 0.1365 1
```

***

(9)
Material: Ac2MgGe3Au4
Method: DFT, PBE
State: relaxed

The energy relative to the elements comes out at -647 meV/atom. As for the crystal system: tetragonal.

CIF file:
```
data_Ac2MgGe3Au4
_symmetry_space_group_name_H-M 'P -4 m 2'
_symmetry_Int_Tables_number 115
_cell_length_a 4.5369
_cell_length_b 4.5369
_cell_length_c 11.0665
_cell_angle_alpha 90.00
_cell_angle_beta 90.00
_cell_angle_gamma 90.00
loop_
_symmetry_equiv_pos_as_xyz
'x,y,z'
'y,-x,-z'
'-x,-y,z'
'-y,x,-z'
'-x,y,z'
'-y,-x,-z'
'x,-y,z'
'y,x,-z'
loop_
_atom_site_label
_atom_site_fract_x
_atom_site_fract_y
_atom_site_fract_z
_atom_site_occupancy
Ac1 0.0000 0.5000 0.2349 1
Mg1 0.0000 0.0000 0.5000 1
Ge1 0.0000 0.5000 0.8678 1
Ge2 0.5000 0.5000 0.5000 1
Au1 0.0000 0.0000 0.0000 1
Au2 0.0000 0.5000 0.6343 1
Au3 0.5000 0.5000 0.0000 1
```

***

(10)
Material: Ca2ThAu4
Method: DFT, PBE
State: relaxed

The energy relative to the elements comes out at -614 meV/atom. As for the crystal system: orthorhombic.

CIF file:
```
data_Ca2ThAu4
_symmetry_space_group_name_H-M 'C m m m'
_symmetry_Int_Tables_number 65
_symmetry_space_group_name_Hall '-C 2 2'
_cell_length_a 7.4569
_cell_length_b 9.7917
_cell_length_c 5.1692
_cell_angle_alpha 90.00
_cell_angle_beta 90.00
_cell_angle_gamma 90.00
loop_
_atom_site_label
_atom_site_fract_x
_atom_site_fract_y
_atom_site_fract_z
_atom_site_occupancy
Ca1 0.0000 0.2066 0.0000 1
Th1 0.0000 0.5000 0.5000 1
Au1 0.2004 0.5000 0.0000 1
Au2 0.2500 0.2500 0.5000 1
```

***

(11)
Material: TlCdRh2
Method: DFT, PBE
State: relaxed

The energy relative to the elements comes out at 145 meV/atom. The calculation puts the energy above the most stable polymorph in this dataset at 192 meV per atom. As for the crystal system: tetragonal.

CIF file:
```
data_TlCdRh2
_symmetry_space_group_name_H-M 'P 4 m m'
_symmetry_Int_Tables_number 99
_cell_length_a 3.0152
_cell_length_b 3.0152
_cell_length_c 8.3666
_cell_angle_alpha 90.00
_cell_angle_beta 90.00
_cell_angle_gamma 90.00
loop_
_symmetry_equiv_pos_as_xyz
'x,y,z'
'-y,x,z'
'-x,-y,z'
'y,-x,z'
'-x,y,z'
'y,x,z'
'x,-y,z'
'-y,-x,z'
loop_
_atom_site_label
_atom_site_fract_x
_atom_site_fract_y
_atom_site_fract_z
_atom_site_occupancy
Tl1 0.0000 0.0000 0.0000 1
Cd1 0.5000 0.5000 0.3340 1
Rh1 0.0000 0.0000 0.5582 1
Rh2 0.5000 0.5000 0.7526 1
```

***

(12)
Material: Ca2PbI
Method: DFT, PBE
State: relaxed

Its formation energy from raw total energies is -613 meV/atom. The calculation puts the energy above the most stable polymorph in this dataset at 206 meV per atom. As for the crystal system: cubic.

CIF file:
```
data_Ca2PbI
_symmetry_space_group_name_H-M 'F m -3 m'
_symmetry_Int_Tables_number 225
_symmetry_space_group_name_Hall '-F 4 2 3'
_cell_length_a 8.0114
_cell_length_b 8.0114
_cell_length_c 8.0114
_cell_angle_alpha 90.00
_cell_angle_beta 90.00
_cell_angle_gamma 90.00
loop_
_atom_site_label
_atom_site_fract_x
_atom_site_fract_y
_atom_site_fract_z
_atom_site_occupancy
Ca1 0.2500 0.2500 0.2500 1
Pb1 0.0000 0.0000 0.0000 1
I1 0.0000 0.0000 0.5000 1
```

***

no.,raw total energy (eV/cell)
1,-27.1
2,-53.0
3,-57.2
4,-27.3
5,-22.1
6,-93.8
7,-118.1
8,-88.8
9,-43.2
10,-57.7
11,-17.4
12,-46.9